The following is a DFT calculation (PBE+U) of a relaxed Li4PmCo3F12 crystal.

ρ = 3.595 g/cm3
Space-group type = R32 (155)
Total DFT energy (no corrections) = -102.51 eV for the cell shown
Total moment = 8.0 Bohr magnetons per cell

Cell lengths 6.801, 6.801, 6.801 Å; angles 106.30, 106.30, 106.30 degrees
Sites, in units of the cell vectors:
Li (0.000, 0.000, 0.000)
Li (0.000, 0.427, 0.573)
Li (0.427, 0.573, 0.000)
Li (0.573, 0.000, 0.427)
Pm (0.500, 0.500, 0.500)
Co (0.074, 0.926, 0.500)
Co (0.500, 0.074, 0.926)
Co (0.926, 0.500, 0.074)
F (0.000, 0.588, 0.412)
F (0.000, 0.835, 0.165)
F (0.165, 0.000, 0.835)
F (0.186, 0.282, 0.529)
F (0.282, 0.529, 0.186)
F (0.412, 0.000, 0.588)
F (0.471, 0.718, 0.814)
F (0.529, 0.186, 0.282)
F (0.588, 0.412, 0.000)
F (0.718, 0.814, 0.471)
F (0.814, 0.471, 0.718)
F (0.835, 0.165, 0.000)